Density functional theory data (PBE-GGA) for a geometry-optimized Tm8As4PSe3 structure.

Output
VASP energy, eV/atom: -6.034
Crystal system: trigonal
ΔE_f (raw), eV/atom: -1.645

a = 8.064 Å, b = 8.064 Å, c = 8.064 Å
α = 60.08°, β = 60.08°, γ = 60.08°
Fractional positions:
Tm: 0.240 0.753 0.753
Tm: 0.246 0.246 0.246
Tm: 0.247 0.247 0.760
Tm: 0.247 0.760 0.247
Tm: 0.753 0.240 0.753
Tm: 0.753 0.753 0.240
Tm: 0.754 0.754 0.754
Tm: 0.760 0.247 0.247
As: 0.000 0.000 0.500
As: 0.000 0.500 0.000
As: 0.500 0.000 0.000
As: 0.500 0.500 0.500
P: 0.000 0.000 0.000
Se: 0.000 0.500 0.500
Se: 0.500 0.000 0.500
Se: 0.500 0.500 0.000


Density functional theory data (PBE-GGA) for a geometry-optimized Tm6As3PSe2 structure.

Output
VASP energy, eV/atom: -6.071
Crystal system: monoclinic
ΔE_f (raw), eV/atom: -1.641

a = 9.017 Å, b = 9.017 Å, c = 8.062 Å
α = 102.82°, β = 102.82°, γ = 25.83°
Fractional positions:
Tm: 0.003 0.003 0.259
Tm: 0.337 0.337 0.426
Tm: 0.338 0.338 0.910
Tm: 0.662 0.662 0.090
Tm: 0.663 0.663 0.574
Tm: 0.997 0.997 0.741
As: 0.169 0.169 0.334
As: 0.500 0.500 0.000
As: 0.831 0.831 0.666
P: 0.500 0.500 0.500
Se: 0.167 0.167 0.836
Se: 0.833 0.833 0.164


Density functional theory data (PBE-GGA) for a geometry-optimized Tm4As2PSe structure.

Output
VASP energy, eV/atom: -6.142
Crystal system: monoclinic
ΔE_f (raw), eV/atom: -1.632

a = 6.956 Å, b = 4.022 Å, c = 6.974 Å
α = 90.00°, β = 109.35°, γ = 90.00°
Fractional positions:
Tm: 0.246 0.000 0.240
Tm: 0.252 0.500 0.758
Tm: 0.748 0.500 0.242
Tm: 0.754 0.000 0.760
As: 0.000 0.000 0.500
As: 0.000 0.500 0.000
P: 0.500 0.000 0.000
Se: 0.500 0.500 0.500


Density functional theory data (PBE-GGA) for a geometry-optimized Tm4AsP2Se structure.

Output
VASP energy, eV/atom: -6.279
Crystal system: monoclinic
ΔE_f (raw), eV/atom: -1.674

a = 6.904 Å, b = 3.987 Å, c = 6.932 Å
α = 90.00°, β = 109.28°, γ = 90.00°
Fractional positions:
Tm: 0.240 0.000 0.235
Tm: 0.250 0.500 0.761
Tm: 0.750 0.500 0.239
Tm: 0.760 0.000 0.765
As: 0.000 0.000 0.500
P: 0.000 0.500 0.000
P: 0.500 0.000 0.000
Se: 0.500 0.500 0.500